Entry 1:
A relaxed Y2CoRu crystal. Source: Alexandria via LeMat-Bulk, functional PBE.

Unit cell a=5.5036 b=4.0424 c=8.1186 alpha=90.00 beta=106.21 gamma=90.00
Closest atoms and distances in Å follow each position.
Fractional coordinates of all 8 atoms:
1 Y 0.2174 0.2500 0.4238  3 Ru 2.94-3.05, 4 Co 2.95-3.06
2 Y 0.2796 0.7500 0.0699  4 Ru 2.94-3.07, 3 Co 2.96-3.08
3 Y 0.7204 0.2500 0.9301  4 Ru 2.94-3.07, 3 Co 2.96-3.08
4 Y 0.7826 0.7500 0.5762  3 Ru 2.94-3.05, 4 Co 2.95-3.06
5 Co 0.3370 0.7500 0.7186  2 Ru 2.32
6 Co 0.6630 0.2500 0.2814  2 Ru 2.32
7 Ru 0.1693 0.2500 0.7749  2 Co 2.32
8 Ru 0.8307 0.7500 0.2251  2 Co 2.32

Summary:
* DFT formation energy: -0.238 eV per atom
* raw total energy: -7.56 eV per atom

***

Entry 2:
A relaxed Ba2ZnAs3Pt4 crystal. Source: Alexandria via LeMat-Bulk, functional PBE.

Unit cell a=4.5751 b=4.5751 c=10.2297 alpha=90.00 beta=90.00 gamma=90.00
Closest atoms and distances in Å follow each position.
Fractional coordinates of all 10 atoms:
1 Ba 0.0000 0.5000 0.2477  6 As 3.41-3.49, 2 Zn 3.41, 9 Pt 3.45-3.74
2 Ba 0.5000 0.0000 0.7523  6 As 3.41-3.49, 2 Zn 3.41, 9 Pt 3.45-3.74
3 Zn 0.5000 0.5000 0.0000  4 Pt 2.59
4 As 0.0000 0.0000 0.0000  4 Pt 2.59
5 As 0.0000 0.5000 0.6235  5 Pt 2.61-2.64
6 As 0.5000 0.0000 0.3765  5 Pt 2.61-2.64
7 Pt 0.0000 0.0000 0.5000  4 As 2.61
8 Pt 0.0000 0.5000 0.8816  3 As 2.59-2.64, 2 Zn 2.59
9 Pt 0.5000 0.0000 0.1184  3 As 2.59-2.64, 2 Zn 2.59
10 Pt 0.5000 0.5000 0.5000  4 As 2.61

Summary:
* DFT formation energy: -0.745 eV per atom
* raw total energy: -5.07 eV per atom

***

Entry 3:
A relaxed La2Zn2Cu crystal. Source: Alexandria via LeMat-Bulk, functional PBE.

Unit cell a=5.6505 b=5.6505 c=11.0484 alpha=114.26 beta=114.26 gamma=48.55
Closest atoms and distances in Å follow each position.
Fractional coordinates of all 10 atoms:
1 La 0.0185 0.0185 0.3379  4 Cu 3.07-3.25, 7 Zn 3.10-3.36
2 La 0.2060 0.2060 0.1121  6 Zn 3.06-3.41
3 La 0.7940 0.7940 0.8879  6 Zn 3.06-3.41
4 La 0.9815 0.9815 0.6621  4 Cu 3.07-3.25, 7 Zn 3.10-3.36
5 Zn 0.3529 0.3529 0.4401  3 Cu 2.63-2.78, 1 Zn 2.71
6 Zn 0.4946 0.4946 0.8821  1 Zn 2.56, 1 Cu 2.56
7 Zn 0.5054 0.5054 0.1179  1 Zn 2.56, 1 Cu 2.56
8 Zn 0.6471 0.6471 0.5599  3 Cu 2.63-2.78, 1 Zn 2.71
9 Cu 0.2727 0.2727 0.6492  4 Zn 2.56-2.78
10 Cu 0.7273 0.7273 0.3508  4 Zn 2.56-2.78

Summary:
* DFT formation energy: -0.277 eV per atom
* raw total energy: -3.58 eV per atom
* polymorph energy (0 for the lowest one): 0.0 kJ per mole of atoms

***

Entry 4:
A relaxed Sn2HgTe4Pb crystal. Source: Alexandria via LeMat-Bulk, functional PBE.

Unit cell a=7.8055 b=4.5304 c=7.8185 alpha=90.00 beta=110.32 gamma=90.00
Closest atoms and distances in Å follow each position.
Fractional coordinates of all 8 atoms:
1 Sn 0.0000 0.0000 0.0000  6 Te 3.14-3.17
2 Sn 0.5000 0.5000 0.0000  6 Te 3.18-3.19
3 Hg 0.0000 0.5000 0.5000  6 Te 3.17-3.23
4 Te 0.2453 0.0000 0.7506  2 Hg 3.17, 3 Sn 3.17-3.19, 1 Pb 3.24
5 Te 0.2460 0.5000 0.2424  3 Sn 3.14-3.18, 2 Pb 3.22, 1 Hg 3.23
6 Te 0.7540 0.5000 0.7576  3 Sn 3.14-3.18, 2 Pb 3.22, 1 Hg 3.23
7 Te 0.7547 0.0000 0.2494  2 Hg 3.17, 3 Sn 3.17-3.19, 1 Pb 3.24
8 Pb 0.5000 0.0000 0.5000  6 Te 3.22-3.24

Summary:
* ΔE_f (raw): -1.88 eV/f.u.
* raw total energy: -3.31 eV per atom

***

Entry 5:
A relaxed Mn3HgH crystal. Source: Alexandria via LeMat-Bulk, functional PBE.

Unit cell a=3.9874 b=3.9874 c=3.9874 alpha=90.00 beta=90.00 gamma=90.00
Closest atoms and distances in Å follow each position.
Fractional coordinates of all 5 atoms:
1 Mn 0.0000 0.0000 0.5000  2 H 1.99
2 Mn 0.0000 0.5000 0.0000  2 H 1.99
3 Mn 0.5000 0.0000 0.0000  2 H 1.99
4 Hg 0.5000 0.5000 0.5000  12 Mn 2.82
5 H 0.0000 0.0000 0.0000  6 Mn 1.99

Summary:
* raw total energy: -6.00 eV per atom
* polymorph energy (0 for the lowest one): 0.0 kJ per mole of atoms

***

Entry 6:
A relaxed Cu6NiRh crystal. Source: Alexandria via LeMat-Bulk, functional PBE.

Unit cell a=4.2232 b=5.1558 c=5.1558 alpha=60.12 beta=90.00 gamma=90.00
Closest atoms and distances in Å follow each position.
Fractional coordinates of all 8 atoms:
1 Cu 0.0000 0.0000 0.0000  10 Cu 2.56-2.59, 2 Ni 2.58
2 Cu 0.0000 0.0057 0.5001  8 Cu 2.55-2.61, 2 Ni 2.57-2.58, 2 Rh 2.61
3 Cu 0.0000 0.5001 0.0057  8 Cu 2.55-2.61, 2 Ni 2.57-2.58, 2 Rh 2.61
4 Cu 0.5000 0.1655 0.6639  2 Rh 2.56-2.60, 8 Cu 2.56-2.59, 2 Ni 2.60
5 Cu 0.5000 0.1665 0.1665  10 Cu 2.56-2.59, 2 Rh 2.58
6 Cu 0.5000 0.6639 0.1655  2 Rh 2.56-2.60, 8 Cu 2.56-2.59, 2 Ni 2.60
7 Ni 0.0000 0.5044 0.5044  2 Rh 2.54, 10 Cu 2.57-2.60
8 Rh 0.5000 0.6621 0.6621  2 Ni 2.54, 10 Cu 2.56-2.61

Summary:
* DFT formation energy: 0.022 eV per atom
* raw total energy: -4.69 eV per atom
* polymorph energy (0 for the lowest one): 0.0 kJ per mole of atoms

***

Entry 7:
A relaxed HfAlIn crystal. Source: Alexandria via LeMat-Bulk, functional PBE.

Unit cell a=6.5274 b=6.5274 c=6.5274 alpha=151.94 beta=151.94 gamma=40.10
Closest atoms and distances in Å follow each position.
Fractional coordinates of all 3 atoms:
1 Hf 0.0000 0.0000 0.0000  4 Al 2.89, 4 In 3.15, 4 Hf 3.16
2 Al 0.6496 0.6496 0.0000  4 Hf 2.89, 4 In 3.05, 4 Al 3.16
3 In 0.3188 0.3188 0.0000  4 Al 3.05, 4 Hf 3.15, 4 In 3.16

Summary:
* DFT formation energy: -0.085 eV per atom
* raw total energy: -5.56 eV per atom
* polymorph energy (0 for the lowest one): 0.0 kJ per mole of atoms

***

Entry 8:
A relaxed DyHoCd crystal. Source: Alexandria via LeMat-Bulk, functional PBE.

Unit cell a=9.8844 b=9.8844 c=4.9422 alpha=90.00 beta=90.00 gamma=159.72
Closest atoms and distances in Å follow each position.
Fractional coordinates of all 6 atoms:
1 Dy 0.2089 0.7911 0.7500  1 Cd 3.23, 6 Dy 3.42-3.48, 5 Ho 3.58-3.61
2 Dy 0.7911 0.2089 0.2500  1 Cd 3.23, 6 Dy 3.42-3.48, 5 Ho 3.58-3.61
3 Ho 0.3926 0.6074 0.7500  6 Cd 3.27-3.40, 2 Ho 3.48, 5 Dy 3.58-3.61
4 Ho 0.6074 0.3926 0.2500  6 Cd 3.27-3.40, 2 Ho 3.48, 5 Dy 3.58-3.61
5 Cd 0.0427 0.9573 0.7500  2 Cd 2.98, 1 Dy 3.23, 4 Ho 3.27
6 Cd 0.9573 0.0427 0.2500  2 Cd 2.98, 1 Dy 3.23, 4 Ho 3.27

Summary:
* DFT formation energy: -0.158 eV per atom
* raw total energy: -3.52 eV per atom
* polymorph energy (0 for the lowest one): 3.2 kJ per mole of atoms

***

Entry 9:
A relaxed MnTl2Fe crystal. Source: Alexandria via LeMat-Bulk, functional PBE.

Unit cell a=5.0758 b=5.0758 c=5.0758 alpha=129.52 beta=129.52 gamma=74.18
Closest atoms and distances in Å follow each position.
Fractional coordinates of all 4 atoms:
1 Mn 0.0000 0.0000 0.0000  8 Tl 2.96, 4 Fe 3.06
2 Tl 0.2500 0.7500 0.5000  4 Mn 2.96, 4 Fe 2.96, 4 Tl 3.06
3 Tl 0.7500 0.2500 0.5000  4 Mn 2.96, 4 Fe 2.96, 4 Tl 3.06
4 Fe 0.5000 0.5000 0.0000  8 Tl 2.96, 4 Mn 3.06

Summary:
* DFT formation energy: 0.602 eV per atom
* raw total energy: -4.99 eV per atom
* polymorph energy (0 for the lowest one): 11.9 kJ per mole of atoms

***

Entry 10:
A relaxed Pr5Dy2Y3 crystal. Source: Alexandria via LeMat-Bulk, functional PBE.

Unit cell a=11.1253 b=11.1253 c=11.1253 alpha=112.72 beta=77.58 gamma=145.98
Closest atoms and distances in Å follow each position.
Fractional coordinates of all 20 atoms:
1 Pr 0.1725 0.7476 0.9201  2 Pr 3.41, 1 Y 3.41, 1 Dy 3.44
2 Pr 0.2500 0.2500 0.0000  4 Pr 3.12-3.25
3 Pr 0.2500 0.5033 0.2533  1 Y 3.04, 5 Pr 3.12-3.41
4 Pr 0.2500 0.9967 0.7467  1 Y 3.04, 5 Pr 3.12-3.41
5 Pr 0.3275 0.2476 0.5751  2 Pr 3.41, 1 Y 3.41, 1 Dy 3.44
6 Pr 0.6725 0.7524 0.4249  2 Pr 3.41, 1 Y 3.41, 1 Dy 3.44
7 Pr 0.7500 0.0033 0.2533  1 Y 3.04, 5 Pr 3.12-3.41
8 Pr 0.7500 0.4967 0.7467  1 Y 3.04, 5 Pr 3.12-3.41
9 Pr 0.7500 0.7500 0.0000  4 Pr 3.12-3.25
10 Pr 0.8275 0.2524 0.0799  2 Pr 3.41, 1 Y 3.41, 1 Dy 3.44
11 Dy 0.1682 0.4142 0.5825  3 Pr 3.44-3.82, 3 Y 3.50-3.54
12 Dy 0.3318 0.9142 0.2460  3 Pr 3.44-3.82, 3 Y 3.50-3.54
13 Dy 0.6682 0.0858 0.7540  3 Pr 3.44-3.82, 3 Y 3.50-3.54
14 Dy 0.8318 0.5858 0.4175  3 Pr 3.44-3.82, 3 Y 3.50-3.54
15 Y 0.1683 0.0859 0.2542  3 Pr 3.41-3.51, 1 Dy 3.54
16 Y 0.2500 0.7500 0.5000  2 Pr 3.04, 2 Y 3.25
17 Y 0.3317 0.5859 0.9176  3 Pr 3.41-3.51, 1 Dy 3.54
18 Y 0.6683 0.4141 0.0824  3 Pr 3.41-3.51, 1 Dy 3.54
19 Y 0.7500 0.2500 0.5000  2 Pr 3.04, 2 Y 3.25
20 Y 0.8317 0.9141 0.7458  3 Pr 3.41-3.51, 1 Dy 3.54

Summary:
* DFT formation energy: 0.280 eV per atom
* raw total energy: -4.97 eV per atom
* polymorph energy (0 for the lowest one): 10.3 kJ per mole of atoms

***

Entry 11:
A relaxed HoIBrO4 crystal. Source: Alexandria via LeMat-Bulk, functional PBE.

Unit cell a=6.5113 b=6.5113 c=6.4975 alpha=91.51 beta=91.51 gamma=63.52
Closest atoms and distances in Å follow each position.
Fractional coordinates of all 14 atoms:
1 Ho 0.2313 0.2313 0.1608  4 O 2.11-2.33
2 Ho 0.7687 0.7687 0.8392  4 O 2.11-2.33
3 I 0.1259 0.1259 0.6611  4 O 1.88-2.04
4 I 0.8741 0.8741 0.3389  4 O 1.88-2.04
5 Br 0.4454 0.4454 0.8366  1 Br 2.41
6 Br 0.5546 0.5546 0.1634  1 Br 2.41
7 O 0.0122 0.6287 0.1509  1 I 1.88
8 O 0.0481 0.0481 0.2427  1 I 2.04, 1 Ho 2.11
9 O 0.2757 0.2757 0.5036  1 I 1.98
10 O 0.3713 0.9878 0.8491  1 I 1.88
11 O 0.6287 0.0122 0.1509  1 I 1.88
12 O 0.7243 0.7243 0.4964  1 I 1.98
13 O 0.9519 0.9519 0.7573  1 I 2.04, 1 Ho 2.11
14 O 0.9878 0.3713 0.8491  1 I 1.88

Summary:
* ΔE_f (raw): -9.17 eV/f.u.
* raw total energy: -5.26 eV per atom

***

Entry 12:
A relaxed ThMgRh crystal. Source: Alexandria via LeMat-Bulk, functional PBE.

Unit cell a=6.3596 b=6.3596 c=6.3596 alpha=148.99 beta=148.99 gamma=44.43
Closest atoms and distances in Å follow each position.
Fractional coordinates of all 3 atoms:
1 Th 0.0000 0.0000 0.0000  4 Rh 2.94, 1 Mg 3.23
2 Mg 0.2747 0.2747 0.0000  4 Rh 2.86
3 Rh 0.6429 0.6429 0.0000  4 Mg 2.86, 4 Th 2.94

Summary:
* DFT formation energy: -0.433 eV per atom
* raw total energy: -5.89 eV per atom

***

Entry 13:
A relaxed CeTh2InC crystal. Source: Alexandria via LeMat-Bulk, functional PBE.

Unit cell a=5.0824 b=5.0824 c=5.0071 alpha=90.00 beta=90.00 gamma=90.00
Closest atoms and distances in Å follow each position.
Fractional coordinates of all 5 atoms:
1 Ce 0.0000 0.0000 0.0000  2 C 2.50
2 Th 0.0000 0.5000 0.5000  2 C 2.54
3 Th 0.5000 0.0000 0.5000  2 C 2.54
4 In 0.5000 0.5000 0.0000  8 Th 3.57, 4 Ce 3.59
5 C 0.0000 0.0000 0.5000  2 Ce 2.50, 4 Th 2.54

Summary:
* DFT formation energy: -0.317 eV per atom
* raw total energy: -6.86 eV per atom

***

Entry 14:
A relaxed Ga2Cu4Au3 crystal. Source: Alexandria via LeMat-Bulk, functional PBE.

Unit cell a=4.9052 b=4.9052 c=7.0799 alpha=101.89 beta=101.89 gamma=54.22
Closest atoms and distances in Å follow each position.
Fractional coordinates of all 9 atoms:
1 Ga 0.2344 0.2344 0.3143  3 Cu 2.55-2.58, 4 Au 2.65-2.73
2 Ga 0.7656 0.7656 0.6857  3 Cu 2.55-2.58, 4 Au 2.65-2.73
3 Cu 0.1143 0.1143 0.6583  3 Ga 2.58-2.87, 2 Cu 2.62-2.63, 4 Au 2.74-2.82
4 Cu 0.3199 0.3199 0.9934  1 Ga 2.55, 3 Cu 2.56-2.62, 5 Au 2.70-2.80
5 Cu 0.6801 0.6801 0.0066  1 Ga 2.55, 3 Cu 2.56-2.62, 5 Au 2.70-2.80
6 Cu 0.8857 0.8857 0.3417  3 Ga 2.58-2.87, 2 Cu 2.62-2.63, 4 Au 2.74-2.82
7 Au 0.0000 0.0000 0.0000  2 Ga 2.65, 8 Cu 2.73-2.82
8 Au 0.4361 0.4361 0.6718  5 Cu 2.70-2.80, 4 Ga 2.70-2.86, 1 Au 2.90
9 Au 0.5639 0.5639 0.3282  5 Cu 2.70-2.80, 4 Ga 2.70-2.86, 1 Au 2.90

Summary:
* DFT formation energy: -0.075 eV per atom
* raw total energy: -3.66 eV per atom
* polymorph energy (0 for the lowest one): 1.2 kJ per mole of atoms

***

Entry 15:
A relaxed Mg8PtRh2 crystal. Source: Alexandria via LeMat-Bulk, functional PBE.

Unit cell a=7.6336 b=7.6336 c=6.6049 alpha=112.15 beta=112.15 gamma=34.10
Closest atoms and distances in Å follow each position.
Fractional coordinates of all 11 atoms:
1 Mg 0.0259 0.0259 0.2423  1 Rh 2.75, 2 Pt 2.92, 7 Mg 2.93-3.03
2 Mg 0.1682 0.1682 0.7229  3 Rh 2.76-2.88, 8 Mg 2.87-3.03
3 Mg 0.3325 0.3325 0.5873  1 Pt 2.72, 3 Rh 2.72-2.91, 6 Mg 2.87-3.03
4 Mg 0.3789 0.3789 0.0617  3 Rh 2.67-2.98, 1 Pt 2.73, 3 Mg 2.88-2.93
5 Mg 0.6211 0.6211 0.9383  3 Rh 2.67-2.98, 1 Pt 2.73, 3 Mg 2.88-2.93
6 Mg 0.6675 0.6675 0.4127  1 Pt 2.72, 3 Rh 2.72-2.91, 6 Mg 2.87-3.03
7 Mg 0.8318 0.8318 0.2771  3 Rh 2.76-2.88, 8 Mg 2.87-3.03
8 Mg 0.9741 0.9741 0.7577  1 Rh 2.75, 2 Pt 2.92, 7 Mg 2.93-3.03
9 Pt 0.5000 0.5000 0.5000  8 Mg 2.72-2.92
10 Rh 0.1969 0.1969 0.1620  10 Mg 2.67-2.98
11 Rh 0.8031 0.8031 0.8380  10 Mg 2.67-2.98

Summary:
* DFT formation energy: -0.435 eV per atom
* raw total energy: -3.48 eV per atom

***

Entry 16:
A relaxed As2RuSe crystal. Source: Alexandria via LeMat-Bulk, functional PBE.

Unit cell a=7.4110 b=7.4110 c=7.4110 alpha=26.58 beta=26.58 gamma=26.58
Closest atoms and distances in Å follow each position.
Fractional coordinates of all 4 atoms:
1 As 0.2424 0.2424 0.2424  3 Ru 2.55, 3 Se 2.77
2 As 0.7576 0.7576 0.7576  3 Ru 2.55, 3 Se 2.77
3 Ru 0.5000 0.5000 0.5000  6 As 2.55
4 Se 0.0000 0.0000 0.0000  6 As 2.77

Summary:
* ΔE_f (raw): 0.44 eV/f.u.
* raw total energy: -5.40 eV per atom

***

Entry 17:
A relaxed InTcTeN2 crystal. Source: Alexandria via LeMat-Bulk, functional PBE.

Unit cell a=4.0026 b=4.0026 c=6.0148 alpha=90.00 beta=90.00 gamma=90.00
Closest atoms and distances in Å follow each position.
Fractional coordinates of all 5 atoms:
1 In 0.0000 0.0000 0.0000  4 Te 2.83
2 Tc 0.5000 0.5000 0.5000  4 N 2.00
3 Te 0.5000 0.5000 0.0000  4 In 2.83, 2 Tc 3.01
4 N 0.0000 0.5000 0.5000  2 Tc 2.00
5 N 0.5000 0.0000 0.5000  2 Tc 2.00

Summary:
* ΔE_f (raw): 3.05 eV/f.u.
* raw total energy: -5.97 eV per atom
* polymorph energy (0 for the lowest one): 0.0 kJ per mole of atoms

***

Entry 18:
A relaxed SrAcAs crystal. Source: Alexandria via LeMat-Bulk, functional PBE.

Unit cell a=4.4471 b=4.4471 c=7.3750 alpha=90.00 beta=90.00 gamma=120.00
Closest atoms and distances in Å follow each position.
Fractional coordinates of all 3 atoms:
1 Sr 0.0000 0.0000 0.0000  3 As 3.17
2 Ac 0.3333 0.6667 0.5170  3 As 3.08
3 As 0.6667 0.3333 0.7478  3 Ac 3.08, 3 Sr 3.17

Summary:
* DFT formation energy: -0.832 eV per atom
* raw total energy: -4.31 eV per atom
* polymorph energy (0 for the lowest one): 1.7 kJ per mole of atoms

***

Entry 19:
A relaxed MgInIBr2 crystal. Source: Alexandria via LeMat-Bulk, functional PBE.

Unit cell a=8.2889 b=5.6537 c=9.5534 alpha=90.00 beta=106.66 gamma=90.00
Closest atoms and distances in Å follow each position.
Fractional coordinates of all 10 atoms:
1 Mg 0.0759 0.2500 0.1570  2 Br 2.51-2.56, 1 I 2.74
2 Mg 0.9241 0.7500 0.8430  2 Br 2.51-2.56, 1 I 2.74
3 In 0.2863 0.2500 0.6116  3 Br 3.35-3.39, 3 I 3.46-3.70
4 In 0.7137 0.7500 0.3884  3 Br 3.35-3.39, 3 I 3.46-3.70
5 I 0.4139 0.2500 0.2970  1 Mg 2.74
6 I 0.5861 0.7500 0.7030  1 Mg 2.74
7 Br 0.0456 0.7500 0.1211  3 Mg 2.56-2.85
8 Br 0.0799 0.7500 0.6535  1 Mg 2.51
9 Br 0.9201 0.2500 0.3465  1 Mg 2.51
10 Br 0.9544 0.2500 0.8789  3 Mg 2.56-2.85

Summary:
* ΔE_f (raw): -4.97 eV/f.u.
* raw total energy: -2.84 eV per atom
* polymorph energy (0 for the lowest one): 0.0 kJ per mole of atoms

***

Entry 20:
A relaxed Ni2PtRh crystal. Source: Alexandria via LeMat-Bulk, functional PBE.

Unit cell a=4.5136 b=4.5136 c=4.6548 alpha=99.80 beta=99.80 gamma=34.64
Closest atoms and distances in Å follow each position.
Fractional coordinates of all 4 atoms:
1 Ni 0.2490 0.2490 0.2424  3 Rh 2.61, 6 Ni 2.63-2.75, 3 Pt 2.64-2.65
2 Ni 0.7510 0.7510 0.7576  3 Rh 2.61, 6 Ni 2.63-2.75, 3 Pt 2.64-2.65
3 Pt 0.0000 0.0000 0.5000  6 Ni 2.64-2.65, 2 Pt 2.69, 4 Rh 2.69
4 Rh 0.5000 0.5000 0.0000  6 Ni 2.61, 2 Rh 2.69, 4 Pt 2.69

Summary:
* DFT formation energy: -0.014 eV per atom
* raw total energy: -6.25 eV per atom